PBE CdCuSb, relaxed; crystal system = hexagonal; uncorrected energy = -2.766 eV/atom
1.0
-3.698 -5.979 0.661
6.238 0.670 3.239
-1.996 1.623 3.509
Cd Cu Sb
3 3 3
Cartesian
-2.138 -3.457 0.382 Cd
1.072 -2.240 1.645 Cd
3.606 0.387 1.873 Cd
-1.873 -0.604 1.911 Cu
0.478 0.970 2.521 Cu
0.941 -3.241 4.732 Cu
0.000 0.000 0.000 Sb
-1.384 -2.951 3.275 Sb
1.928 -0.735 4.134 Sb